Density functional theory data (GGA+U) for an optimized crystal structure of PmNiRhO6.

Calculated values
Its crystal system is trigonal. For the density of states at the Fermi level, the calculation gives 0.38 states/eV per atom. As for the space-group type: P-31c, No. 163. The calculation puts the raw total energy at -112.32 eV/cell.

abc: 5.0622 5.0622 10.1181
angles: 90.00 90.00 120.00
Last column: nearest neighbours and their distance in Å.
Fractional coordinates of all 18 atoms:
O: 0.9874 0.6278 0.8549  1 Ni 1.89, 1 Rh 1.97
O: 0.9874 0.3596 0.6451  1 Ni 1.89, 1 Rh 1.97
O: 0.3596 0.9874 0.1451  1 Ni 1.89, 1 Rh 1.97
Ni: 0.3333 0.6667 0.2500  6 O 1.89
Pm: 0.0000 0.0000 0.5000  6 O 2.36
Rh: 0.3333 0.6667 0.7500  6 O 1.97
Ni: 0.6667 0.3333 0.7500  6 O 1.89
O: 0.6404 0.0126 0.8549  1 Ni 1.89, 1 Rh 1.97
O: 0.0126 0.6404 0.3549  1 Ni 1.89, 1 Rh 1.97
O: 0.6278 0.9874 0.3549  1 Ni 1.89, 1 Rh 1.97
O: 0.6278 0.6404 0.1451  1 Ni 1.89, 1 Rh 1.97
Pm: 0.0000 0.0000 0.0000  6 O 2.36
O: 0.0126 0.3722 0.1451  1 Ni 1.89, 1 Rh 1.97
O: 0.3722 0.0126 0.6451  1 Ni 1.89, 1 Rh 1.97
O: 0.6404 0.6278 0.6451  1 Ni 1.89, 1 Rh 1.97
O: 0.3596 0.3722 0.3549  1 Ni 1.89, 1 Rh 1.97
O: 0.3722 0.3596 0.8549  1 Ni 1.89, 1 Rh 1.97
Rh: 0.6667 0.3333 0.2500  6 O 1.97

=====

Density functional theory data (GGA+U) for an optimized crystal structure of PmNiRu2O8.

Calculated values
Its crystal system is tetragonal. For the density of states at the Fermi level, the calculation gives 0.38 states/eV per atom. As for the space-group type: I-4, No. 82. The calculation puts the raw total energy at -79.72 eV/cell.

abc: 5.1812 5.1812 6.7185
angles: 112.68 112.68 90.00
Last column: nearest neighbours and their distance in Å.
Fractional coordinates of all 12 atoms:
Pm: 0.0000 0.0000 0.0000  8 O 2.39-2.45
Ru: 0.2500 0.7500 0.5000  4 O 1.82
O: 0.1617 0.5717 0.8286  1 Ru 1.82
Ru: 0.5000 0.5000 0.0000  4 O 1.82
O: 0.5808 0.6633 0.6662  1 Ru 1.82
Ni: 0.7500 0.2500 0.5000  8 O 2.35-2.39
O: 0.0854 0.0030 0.6662  1 Ru 1.82
O: 0.4283 0.3331 0.1714  1 Ru 1.82
O: 0.6669 0.2569 0.8286  1 Ru 1.82
O: 0.7431 0.8383 0.1714  1 Ru 1.82
O: 0.3367 0.9146 0.3338  1 Ru 1.82
O: 0.9970 0.4192 0.3338  1 Ru 1.82

=====

Density functional theory data (GGA+U) for an optimized crystal structure of PmNiSO6.

Calculated values
Its crystal system is monoclinic. As for the space-group type: C2, No. 5. The calculation puts the raw total energy at -55.27 eV/cell.

abc: 4.8332 4.9530 4.9406
angles: 90.83 90.43 59.18
Last column: nearest neighbours and their distance in Å.
Fractional coordinates of all 9 atoms:
Ni: 0.6703 0.6649 0.5000  6 O 1.90-2.05
Pm: 0.0083 0.9959 0.0000  6 O 2.36-2.39
O: 0.0365 0.3633 0.3004  1 S 1.70, 1 Ni 1.90
O: 0.6016 0.3458 0.7036  1 S 1.64
O: 0.3518 0.6089 0.3097  1 S 1.71
S: 0.3415 0.3293 0.5000  6 O 1.64-1.71
O: 0.0367 0.6002 0.6996  1 S 1.70, 1 Ni 1.90
O: 0.6013 0.0526 0.2963  1 S 1.64
O: 0.3519 0.0391 0.6903  1 S 1.71

=====

Density functional theory data (GGA+U) for an optimized crystal structure of PmNiS2O8.

Calculated values
Its crystal system is trigonal. For the density of states at the Fermi level, the calculation gives 0.51 states/eV per atom. As for the space-group type: P-3m1, No. 164. The calculation puts the raw total energy at -74.40 eV/cell.

abc: 5.1609 5.1609 6.9579
angles: 90.00 90.00 120.00
Last column: nearest neighbours and their distance in Å.
Fractional coordinates of all 12 atoms:
O: 0.3497 0.1749 0.2214  1 S 1.49
O: 0.8251 0.6503 0.2214  1 S 1.49
O: 0.1749 0.3497 0.7786  1 S 1.49
Ni: 0.0000 0.0000 0.0000  6 O 2.19
O: 0.6667 0.3333 0.5042  1 S 1.50
O: 0.8251 0.1749 0.2214  1 S 1.49
Pm: 0.0000 0.0000 0.5000  6 O 2.49
S: 0.6667 0.3333 0.2881  4 O 1.49-1.50
O: 0.1749 0.8251 0.7786  1 S 1.49
S: 0.3333 0.6667 0.7119  4 O 1.49-1.50
O: 0.6503 0.8251 0.7786  1 S 1.49
O: 0.3333 0.6667 0.4958  1 S 1.50